## Ta2V3Ga5 (PBE)

Data for Ta2V3Ga5 after structural relaxation. Values from VASP.

Quantum ESPRESSO input file:
```
&SYSTEM
  ibrav = 0, nat = 20, ntyp = 3
/
ATOMIC_SPECIES
Ta 180.95 Ta.upf
V 50.94 V.upf
Ga 69.72 Ga.upf
CELL_PARAMETERS angstrom
-4.977 6.377 2.567
4.977 -6.377 2.567
4.977 6.377 -2.567
ATOMIC_POSITIONS crystal
Ta 0.210 0.128 0.338
Ta 0.290 0.628 0.918
Ta 0.710 0.372 0.082
Ta 0.790 0.872 0.662
V 0.164 0.419 0.583
V 0.250 0.250 0.000
V 0.336 0.919 0.255
V 0.664 0.081 0.745
V 0.750 0.750 0.000
V 0.836 0.581 0.417
Ga 0.148 0.862 0.010
Ga 0.250 0.504 0.254
Ga 0.250 0.750 0.500
Ga 0.250 0.996 0.746
Ga 0.352 0.362 0.714
Ga 0.648 0.638 0.286
Ga 0.750 0.004 0.254
Ga 0.750 0.250 0.500
Ga 0.750 0.496 0.746
Ga 0.852 0.138 0.990
```

=====

## Ta3V2Ga3 (PBE)

Data for Ta3V2Ga3 after structural relaxation. Values from VASP.

Quantum ESPRESSO input file:
```
&SYSTEM
  ibrav = 0, nat = 16, ntyp = 3
/
ATOMIC_SPECIES
Ta 180.95 Ta.upf
V 50.94 V.upf
Ga 69.72 Ga.upf
CELL_PARAMETERS angstrom
1.696 -5.704 0.000
1.696 5.704 0.000
0.000 0.000 13.276
ATOMIC_POSITIONS crystal
Ta 0.068 0.932 0.624
Ta 0.068 0.932 0.876
Ta 0.370 0.630 0.750
Ta 0.630 0.370 0.250
Ta 0.932 0.068 0.124
Ta 0.932 0.068 0.376
V 0.239 0.761 0.077
V 0.239 0.761 0.423
V 0.761 0.239 0.577
V 0.761 0.239 0.923
Ga 0.326 0.674 0.250
Ga 0.410 0.590 0.546
Ga 0.410 0.590 0.954
Ga 0.590 0.410 0.046
Ga 0.590 0.410 0.454
Ga 0.674 0.326 0.750
```

=====

## Ta2V4Ga (PBE)

Data for Ta2V4Ga after structural relaxation. Values from VASP.

Quantum ESPRESSO input file:
```
&SYSTEM
  ibrav = 0, nat = 7, ntyp = 3
/
ATOMIC_SPECIES
Ta 180.95 Ta.upf
V 50.94 V.upf
Ga 69.72 Ga.upf
CELL_PARAMETERS angstrom
-2.223 2.223 6.388
2.223 -2.223 6.388
2.223 2.223 -6.388
ATOMIC_POSITIONS crystal
Ta 0.119 0.119 0.000
Ta 0.881 0.881 0.000
V 0.000 0.500 0.500
V 0.312 0.312 0.000
V 0.500 0.000 0.500
V 0.688 0.688 0.000
Ga 0.500 0.500 0.000
```

=====

! TaVGa2, relaxed, DFT PBE; values from VASP
! Polymorph energy (0 for the lowest one) ... 5.9 kJ/mol of atoms
&SYSTEM
  ibrav = 0, nat = 4, ntyp = 3
/
ATOMIC_SPECIES
Ta 180.95 Ta.upf
V 50.94 V.upf
Ga 69.72 Ga.upf
CELL_PARAMETERS angstrom
1.439 0.831 8.899
-1.439 0.831 8.899
0.000 -1.662 8.899
ATOMIC_POSITIONS crystal
Ta 0.000 0.000 0.000
V 0.166 0.166 0.166
Ga 0.420 0.420 0.420
Ga 0.579 0.579 0.579

=====

## Ta3V4Ga4 (PBE)

Data for Ta3V4Ga4 after structural relaxation. Values from VASP.

Quantum ESPRESSO input file:
```
&SYSTEM
  ibrav = 0, nat = 11, ntyp = 3
/
ATOMIC_SPECIES
Ta 180.95 Ta.upf
V 50.94 V.upf
Ga 69.72 Ga.upf
CELL_PARAMETERS angstrom
-1.812 3.582 6.898
1.812 -3.582 6.898
1.812 3.582 -6.898
ATOMIC_POSITIONS crystal
Ta 0.000 0.000 0.000
Ta 0.364 0.864 0.500
Ta 0.636 0.136 0.500
V 0.169 0.169 0.000
V 0.340 0.500 0.840
V 0.660 0.500 0.160
V 0.831 0.831 0.000
Ga 0.054 0.315 0.739
Ga 0.424 0.685 0.739
Ga 0.576 0.315 0.261
Ga 0.946 0.685 0.261
```

=====

## Ta6VGa3 (PBE)

Data for Ta6VGa3 after structural relaxation. Values from VASP.

Quantum ESPRESSO input file:
```
&SYSTEM
  ibrav = 0, nat = 20, ntyp = 3
/
ATOMIC_SPECIES
Ta 180.95 Ta.upf
V 50.94 V.upf
Ga 69.72 Ga.upf
CELL_PARAMETERS angstrom
5.011 0.000 0.000
0.000 7.878 0.000
-4.945 0.000 8.966
ATOMIC_POSITIONS crystal
Ta 0.008 0.170 0.443
Ta 0.008 0.330 0.943
Ta 0.384 0.675 0.443
Ta 0.384 0.825 0.943
Ta 0.408 0.086 0.256
Ta 0.408 0.414 0.756
Ta 0.592 0.586 0.244
Ta 0.592 0.914 0.744
Ta 0.616 0.175 0.057
Ta 0.616 0.325 0.557
Ta 0.992 0.670 0.057
Ta 0.992 0.830 0.557
V 0.500 0.000 0.500
V 0.500 0.500 0.000
Ga 0.000 0.000 0.000
Ga 0.000 0.500 0.500
Ga 0.099 0.107 0.745
Ga 0.099 0.393 0.245
Ga 0.901 0.607 0.755
Ga 0.901 0.893 0.255
```

=====

## Ta2V5Ga2W (PBE)

Data for Ta2V5Ga2W after structural relaxation. Values from VASP.

Quantum ESPRESSO input file:
```
&SYSTEM
  ibrav = 0, nat = 20, ntyp = 4
/
ATOMIC_SPECIES
Ta 180.95 Ta.upf
V 50.94 V.upf
Ga 69.72 Ga.upf
W 183.84 W.upf
CELL_PARAMETERS angstrom
9.398 0.000 0.000
0.000 9.398 0.000
0.000 0.000 3.480
ATOMIC_POSITIONS crystal
Ta 0.167 0.333 0.000
Ta 0.333 0.833 0.000
Ta 0.667 0.167 0.000
Ta 0.833 0.667 0.000
V 0.000 0.500 0.500
V 0.067 0.807 0.500
V 0.193 0.067 0.500
V 0.307 0.567 0.500
V 0.433 0.307 0.500
V 0.500 0.000 0.500
V 0.567 0.693 0.500
V 0.693 0.433 0.500
V 0.807 0.933 0.500
V 0.933 0.193 0.500
Ga 0.130 0.630 0.000
Ga 0.370 0.130 0.000
Ga 0.630 0.870 0.000
Ga 0.870 0.370 0.000
W 0.000 0.000 0.000
W 0.500 0.500 0.000
```

=====

## ZrTaV2Ga (PBE)

Data for ZrTaV2Ga after structural relaxation. Values from VASP.

Quantum ESPRESSO input file:
```
&SYSTEM
  ibrav = 0, nat = 5, ntyp = 4
/
ATOMIC_SPECIES
Zr 91.22 Zr.upf
Ta 180.95 Ta.upf
V 50.94 V.upf
Ga 69.72 Ga.upf
CELL_PARAMETERS angstrom
4.500 0.000 0.000
0.000 4.500 0.000
0.000 0.000 4.947
ATOMIC_POSITIONS crystal
Zr 0.000 0.000 0.000
Ta 0.500 0.500 0.500
V 0.000 0.500 0.000
V 0.500 0.000 0.000
Ga 0.000 0.000 0.500
```

=====

! TaGaW3, relaxed, DFT PBE; values from VASP
! Polymorph energy (0 for the lowest one) ... 0.0 kJ/mol of atoms
&SYSTEM
  ibrav = 0, nat = 5, ntyp = 3
/
ATOMIC_SPECIES
Ta 180.95 Ta.upf
Ga 69.72 Ga.upf
W 183.84 W.upf
CELL_PARAMETERS angstrom
4.557 0.000 0.000
0.000 4.557 0.000
0.000 0.000 4.557
ATOMIC_POSITIONS crystal
Ta 0.000 0.000 0.000
Ga 0.500 0.500 0.500
W 0.000 0.500 0.500
W 0.500 0.000 0.500
W 0.500 0.500 0.000

=====

! TaGaW3, relaxed, DFT PBE; values from VASP
! Polymorph energy (0 for the lowest one) ... 64.2 kJ/mol of atoms
&SYSTEM
  ibrav = 0, nat = 5, ntyp = 3
/
ATOMIC_SPECIES
Ta 180.95 Ta.upf
Ga 69.72 Ga.upf
W 183.84 W.upf
CELL_PARAMETERS angstrom
4.801 0.000 0.000
0.000 4.801 0.000
0.000 0.000 4.801
ATOMIC_POSITIONS crystal
Ta 0.000 0.000 0.000
Ga 0.500 0.500 0.500
W 0.000 0.000 0.500
W 0.000 0.500 0.000
W 0.500 0.000 0.000

=====

! Ta3GaW, relaxed, DFT PBE; values from VASP
! Polymorph energy (0 for the lowest one) ... 4.5 kJ/mol of atoms
&SYSTEM
  ibrav = 0, nat = 5, ntyp = 3
/
ATOMIC_SPECIES
Ta 180.95 Ta.upf
Ga 69.72 Ga.upf
W 183.84 W.upf
CELL_PARAMETERS angstrom
4.873 0.000 0.000
0.000 4.873 0.000
0.000 0.000 4.873
ATOMIC_POSITIONS crystal
Ta 0.000 0.000 0.500
Ta 0.000 0.500 0.000
Ta 0.500 0.000 0.000
Ga 0.500 0.500 0.500
W 0.000 0.000 0.000

=====

! Ta3GaW, relaxed, DFT PBE; values from VASP
! Polymorph energy (0 for the lowest one) ... 0.0 kJ/mol of atoms
&SYSTEM
  ibrav = 0, nat = 5, ntyp = 3
/
ATOMIC_SPECIES
Ta 180.95 Ta.upf
Ga 69.72 Ga.upf
W 183.84 W.upf
CELL_PARAMETERS angstrom
4.658 0.000 0.000
0.000 4.658 0.000
0.000 0.000 4.658
ATOMIC_POSITIONS crystal
Ta 0.000 0.000 0.500
Ta 0.000 0.500 0.000
Ta 0.500 0.000 0.000
Ga 0.000 0.000 0.000
W 0.500 0.500 0.500

=====

## TaGa2W2 (PBE)

Data for TaGa2W2 after structural relaxation. Values from VASP.

Quantum ESPRESSO input file:
```
&SYSTEM
  ibrav = 0, nat = 10, ntyp = 3
/
ATOMIC_SPECIES
Ta 180.95 Ta.upf
Ga 69.72 Ga.upf
W 183.84 W.upf
CELL_PARAMETERS angstrom
6.867 0.000 0.000
0.000 6.867 0.000
0.000 0.000 3.365
ATOMIC_POSITIONS crystal
Ta 0.000 0.000 0.000
Ta 0.500 0.500 0.000
Ga 0.128 0.372 0.000
Ga 0.372 0.872 0.000
Ga 0.628 0.128 0.000
Ga 0.872 0.628 0.000
W 0.171 0.671 0.500
W 0.329 0.171 0.500
W 0.671 0.829 0.500
W 0.829 0.329 0.500
```

=====

! TaGa2W, relaxed, DFT PBE; values from VASP
! Polymorph energy (0 for the lowest one) ... 0.0 kJ/mol of atoms
&SYSTEM
  ibrav = 0, nat = 4, ntyp = 3
/
ATOMIC_SPECIES
Ta 180.95 Ta.upf
Ga 69.72 Ga.upf
W 183.84 W.upf
CELL_PARAMETERS angstrom
0.000 3.167 3.167
3.167 0.000 3.167
3.167 3.167 0.000
ATOMIC_POSITIONS crystal
Ta 0.000 0.000 0.000
Ga 0.250 0.250 0.250
Ga 0.750 0.750 0.750
W 0.500 0.500 0.500

=====

## Ta6GaW5 (PBE)

Data for Ta6GaW5 after structural relaxation. Values from VASP.

Quantum ESPRESSO input file:
```
&SYSTEM
  ibrav = 0, nat = 12, ntyp = 3
/
ATOMIC_SPECIES
Ta 180.95 Ta.upf
Ga 69.72 Ga.upf
W 183.84 W.upf
CELL_PARAMETERS angstrom
-2.290 3.247 6.884
2.290 -3.247 6.884
2.290 3.247 -6.884
ATOMIC_POSITIONS crystal
Ta 0.080 0.332 0.748
Ta 0.244 0.000 0.244
Ta 0.415 0.668 0.748
Ta 0.585 0.332 0.252
Ta 0.756 0.000 0.756
Ta 0.920 0.668 0.252
Ga 0.500 0.500 0.000
W 0.000 0.500 0.500
W 0.168 0.168 0.000
W 0.338 0.838 0.500
W 0.662 0.162 0.500
W 0.832 0.832 0.000
```

=====

## Ta2GaW (PBE)

Data for Ta2GaW after structural relaxation. Values from VASP.

Quantum ESPRESSO input file:
```
&SYSTEM
  ibrav = 0, nat = 8, ntyp = 3
/
ATOMIC_SPECIES
Ta 180.95 Ta.upf
Ga 69.72 Ga.upf
W 183.84 W.upf
CELL_PARAMETERS angstrom
-3.655 3.655 2.755
3.655 -3.655 2.755
3.655 3.655 -2.755
ATOMIC_POSITIONS crystal
Ta 0.122 0.625 0.997
Ta 0.375 0.372 0.497
Ta 0.628 0.125 0.003
Ta 0.875 0.878 0.503
Ga 0.250 0.750 0.500
Ga 0.500 0.500 0.000
W 0.000 0.000 0.000
W 0.750 0.250 0.500
```

=====

## Ta2Ga2W (PBE)

Data for Ta2Ga2W after structural relaxation. Values from VASP.

Quantum ESPRESSO input file:
```
&SYSTEM
  ibrav = 0, nat = 10, ntyp = 3
/
ATOMIC_SPECIES
Ta 180.95 Ta.upf
Ga 69.72 Ga.upf
W 183.84 W.upf
CELL_PARAMETERS angstrom
6.772 0.000 0.000
0.000 6.772 0.000
0.000 0.000 3.541
ATOMIC_POSITIONS crystal
Ta 0.174 0.326 0.000
Ta 0.326 0.826 0.000
Ta 0.674 0.174 0.000
Ta 0.826 0.674 0.000
Ga 0.128 0.628 0.500
Ga 0.372 0.128 0.500
Ga 0.628 0.872 0.500
Ga 0.872 0.372 0.500
W 0.000 0.000 0.500
W 0.500 0.500 0.500
```

=====

! TaGa2W, relaxed, DFT PBE; values from VASP
! Polymorph energy (0 for the lowest one) ... 20.5 kJ/mol of atoms
&SYSTEM
  ibrav = 0, nat = 8, ntyp = 3
/
ATOMIC_SPECIES
Ta 180.95 Ta.upf
Ga 69.72 Ga.upf
W 183.84 W.upf
CELL_PARAMETERS angstrom
-3.533 3.533 2.771
3.533 -3.533 2.771
3.533 3.533 -2.771
ATOMIC_POSITIONS crystal
Ta 0.000 0.000 0.000
Ta 0.750 0.250 0.500
Ga 0.132 0.625 0.007
Ga 0.375 0.382 0.507
Ga 0.618 0.125 0.993
Ga 0.875 0.868 0.493
W 0.250 0.750 0.500
W 0.500 0.500 0.000

=====

## Ta2GaW (PBE)

Data for Ta2GaW after structural relaxation. Values from VASP.

Quantum ESPRESSO input file:
```
&SYSTEM
  ibrav = 0, nat = 4, ntyp = 3
/
ATOMIC_SPECIES
Ta 180.95 Ta.upf
Ga 69.72 Ga.upf
W 183.84 W.upf
CELL_PARAMETERS angstrom
3.352 0.000 0.000
0.000 3.352 0.000
0.000 0.000 6.011
ATOMIC_POSITIONS crystal
Ta 0.000 0.000 0.250
Ta 0.000 0.000 0.750
Ga 0.500 0.500 0.000
W 0.500 0.500 0.500
```

=====

## Ta3Ga4W (PBE)

Data for Ta3Ga4W after structural relaxation. Values from VASP.

Quantum ESPRESSO input file:
```
&SYSTEM
  ibrav = 0, nat = 16, ntyp = 3
/
ATOMIC_SPECIES
Ta 180.95 Ta.upf
Ga 69.72 Ga.upf
W 183.84 W.upf
CELL_PARAMETERS angstrom
5.379 0.000 0.000
0.000 9.622 0.000
0.000 0.000 5.415
ATOMIC_POSITIONS crystal
Ta 0.000 0.113 0.000
Ta 0.248 0.640 0.961
Ta 0.252 0.360 0.461
Ta 0.500 0.887 0.500
Ta 0.748 0.360 0.461
Ta 0.752 0.640 0.961
Ga 0.000 0.095 0.495
Ga 0.000 0.856 0.715
Ga 0.247 0.361 0.961
Ga 0.253 0.639 0.461
Ga 0.500 0.144 0.215
Ga 0.500 0.905 0.995
Ga 0.747 0.639 0.461
Ga 0.753 0.361 0.961
W 0.000 0.852 0.214
W 0.500 0.148 0.714
```

=====

## YTaGa6 (PBE)

Data for YTaGa6 after structural relaxation. Values from VASP.

Quantum ESPRESSO input file:
```
&SYSTEM
  ibrav = 0, nat = 8, ntyp = 3
/
ATOMIC_SPECIES
Y 88.91 Y.upf
Ta 180.95 Ta.upf
Ga 69.72 Ga.upf
CELL_PARAMETERS angstrom
2.639 -4.562 0.000
2.639 4.562 0.000
0.000 0.000 6.045
ATOMIC_POSITIONS crystal
Y 0.000 0.000 0.000
Ta 0.000 0.000 0.500
Ga 0.000 0.500 0.271
Ga 0.000 0.500 0.729
Ga 0.500 0.000 0.271
Ga 0.500 0.000 0.729
Ga 0.500 0.500 0.273
Ga 0.500 0.500 0.727
```

=====

! Ta2ZnGa2, relaxed, DFT PBE; values from VASP
! Polymorph energy (0 for the lowest one) ... 0.0 kJ/mol of atoms
&SYSTEM
  ibrav = 0, nat = 10, ntyp = 3
/
ATOMIC_SPECIES
Ta 180.95 Ta.upf
Zn 65.41 Zn.upf
Ga 69.72 Ga.upf
CELL_PARAMETERS angstrom
6.492 0.000 0.000
0.000 6.492 0.000
0.000 0.000 3.869
ATOMIC_POSITIONS crystal
Ta 0.173 0.327 0.000
Ta 0.327 0.827 0.000
Ta 0.673 0.173 0.000
Ta 0.827 0.673 0.000
Zn 0.000 0.000 0.500
Zn 0.500 0.500 0.500
Ga 0.132 0.632 0.500
Ga 0.368 0.132 0.500
Ga 0.632 0.868 0.500
Ga 0.868 0.368 0.500

=====

! TaZnGa3, relaxed, DFT PBE; values from VASP
! Polymorph energy (0 for the lowest one) ... 20.7 kJ/mol of atoms
&SYSTEM
  ibrav = 0, nat = 5, ntyp = 3
/
ATOMIC_SPECIES
Ta 180.95 Ta.upf
Zn 65.41 Zn.upf
Ga 69.72 Ga.upf
CELL_PARAMETERS angstrom
4.639 0.000 0.000
0.000 4.639 0.000
0.000 0.000 4.639
ATOMIC_POSITIONS crystal
Ta 0.000 0.000 0.000
Zn 0.500 0.500 0.500
Ga 0.000 0.500 0.500
Ga 0.500 0.000 0.500
Ga 0.500 0.500 0.000

=====

| no. | raw total energy (eV/atom) | DOS at the Fermi energy (states/eV per atom) | energy of formation from the pure elements (eV/atom) |
| --- | --- | --- | --- |
| 1 | -6.4445 | 0.8240 | 0.175 |
| 2 | -7.9472 | 0.5032 | -0.088 |
| 3 | -7.9416 | 1.4815 | 1.088 |
| 4 | -6.8334 | 0.7415 | -0.077 |
| 5 | -7.3787 | 0.8490 | 0.270 |
| 6 | -8.7592 | 0.8073 | 0.172 |
| 7 | -8.7765 | 1.0261 | 0.054 |
| 8 | -6.7482 | 1.4731 | 1.585 |
| 9 | -9.0996 | 0.9566 | 1.648 |
| 10 | -8.4346 | 1.2097 | 2.313 |
| 11 | -8.8013 | 0.9410 | 1.506 |
| 12 | -8.8482 | 1.1246 | 1.459 |
| 13 | -8.6556 | 0.7594 | 0.107 |
| 14 | -7.4594 | 0.8795 | 0.255 |
| 15 | -11.6700 | 0.6376 | -0.094 |
| 16 | -9.1992 | 0.6945 | 0.722 |
| 17 | -8.6942 | 0.1240 | -0.152 |
| 18 | -7.2470 | 0.8251 | 0.468 |
| 19 | -10.0334 | 0.4885 | -0.112 |
| 20 | -7.3144 | 0.4386 | 0.263 |
| 21 | -4.7942 | 0.3459 | -0.234 |
| 22 | -6.1751 | 0.5849 | 0.031 |
| 23 | -3.5039 | 0.7901 | 0.938 |